Record 1
A plane-wave DFT calculation with PBE was carried out for a relaxed structure of MgIrI.

Computed properties:
Its space-group type is Pnma, No. 62. As for the energy relative to the elements, uncorrected: 0.13 eV per atom.

abc: 9.1295 4.2679 7.3111
angles: 90.00 90.00 90.00
Atoms (fractional coordinates):
Mg  0.1083  0.7500  0.5916
Mg  0.8917  0.2500  0.4084
Mg  0.3917  0.2500  0.0916
Mg  0.6083  0.7500  0.9084
I  0.3621  0.2500  0.6478
I  0.8621  0.2500  0.8522
I  0.6379  0.7500  0.3522
I  0.1379  0.7500  0.1478
Ir  0.3159  0.7500  0.8747
Ir  0.6841  0.2500  0.1253
Ir  0.1841  0.2500  0.3747
Ir  0.8159  0.7500  0.6253

***

Record 2
A plane-wave DFT calculation with PBE was carried out for a relaxed structure of MgMoIr2I.

Computed properties:
Its space-group type is P4/mmm, No. 123. As for the energy relative to the elements, uncorrected: 1.13 eV per atom.

abc: 4.7928 5.3174 4.7928
angles: 90.00 90.00 90.00
Atoms (fractional coordinates):
Mg  0.5000  0.5000  0.5000
I  0.0000  0.5000  0.0000
Ir  0.0000  0.0000  0.5000
Ir  0.5000  0.0000  0.0000
Mo  0.0000  0.0000  0.0000

***

Record 3
A plane-wave DFT calculation with PBE was carried out for a relaxed structure of MgIrIO2.

Computed properties:
Its space-group type is P4/mmm, No. 123. As for the energy relative to the elements, uncorrected: -0.31 eV per atom.

abc: 3.8542 3.8542 7.3967
angles: 90.00 90.00 90.00
Atoms (fractional coordinates):
O  0.5000  0.0000  0.0000
O  0.0000  0.5000  0.0000
Mg  0.5000  0.5000  0.5000
I  0.0000  0.0000  0.5000
Ir  0.0000  0.0000  0.0000

***

Record 4
A plane-wave DFT calculation with PBE was carried out for a relaxed structure of MgIrIO2.

Computed properties:
Its space-group type is P4/mmm, No. 123. As for the energy relative to the elements, uncorrected: 0.11 eV per atom.

abc: 3.8791 3.8791 6.2430
angles: 90.00 90.00 90.00
Atoms (fractional coordinates):
O  0.0000  0.5000  0.0000
O  0.5000  0.0000  0.0000
Ir  0.5000  0.5000  0.5000
I  0.0000  0.0000  0.5000
Mg  0.0000  0.0000  0.0000

***

Record 5
A plane-wave DFT calculation with PBE was carried out for a relaxed structure of Rb2MgIrI6.

Computed properties:
Its space-group type is I4/mmm, No. 139. As for the energy relative to the elements, uncorrected: -0.72 eV per atom.

abc: 8.1363 8.1363 8.1235
angles: 59.95 59.95 90.00
Atoms (fractional coordinates):
I  0.2390  0.2390  0.0000
I  0.7610  0.2390  0.0000
I  0.7600  0.7600  0.4800
I  0.2390  0.7610  0.0000
I  0.7610  0.7610  0.0000
I  0.2400  0.2400  0.5200
Rb  0.7500  0.2500  0.5000
Rb  0.2500  0.7500  0.5000
Mg  0.5000  0.5000  0.0000
Ir  0.0000  0.0000  0.0000

***

Record 6
A plane-wave DFT calculation with PBE was carried out for a relaxed structure of RbMgIrI2.

Computed properties:
Its space-group type is P4/mmm, No. 123. As for the energy relative to the elements, uncorrected: 0.55 eV per atom.

abc: 5.5330 12.2697 5.5330
angles: 90.00 90.00 90.00
Atoms (fractional coordinates):
I  0.0000  0.0000  0.5000
I  0.5000  0.0000  0.0000
Rb  0.0000  0.5000  0.0000
Mg  0.0000  0.0000  0.0000
Ir  0.5000  0.5000  0.5000

***

Let's list uncorrected energy in order: -3.869, -5.214, -4.693, -4.272, -2.892, -2.356 eV/atom.